A plane-wave DFT calculation with PBE+U was carried out for crystalline SrNiO at its relaxed geometry.

POSCAR file:
```
SrNiO
1.0
-9.0457 5.8428 4.5438
-0.1602 -3.7366 4.4858
2.1923 2.0228 1.7632
Sr O Ni
4 4 4
Cartesian
-3.2140 4.5539 5.5796 Sr
-3.7996 -0.4250 5.2133 Sr
-7.2274 3.5068 8.3660 Sr
0.2138 0.6221 2.4269 Sr
0.0000 0.0000 0.0000 O
-3.5068 2.0645 5.3965 O
-3.4267 3.9328 3.1535 O
-0.0801 -1.8683 2.2429 O
-2.3480 2.2639 3.7029 Ni
-4.6657 1.8650 7.0900 Ni
0.9379 -0.0592 5.6873 Ni
-7.9516 4.1881 5.1056 Ni
```

* space-group type: Pnma
* DFT total energy: -4.124 eV/atom